Computed, not measured: a geometry-optimized As2IO structure at the PBEsol level of DFT.

**Size of the total moment**: 0.00 Bohr magnetons per cell
**Calculated total energy**: -4.24 eV per atom

The structure in CIF format:
```
data_As2IO
_chemical_formula_sum 'As8 I4 O4'
_cell_length_a 5.1465
_cell_length_b 5.1465
_cell_length_c 13.5252
_cell_angle_alpha 90.00
_cell_angle_beta 90.00
_cell_angle_gamma 90.00
_symmetry_space_group_name_H-M 'I -4 2 d'
_symmetry_Int_Tables_number 122
_symmetry_space_group_name_Hall 'I -4 2bw'
loop_
_atom_site_label
_atom_site_fract_x
_atom_site_fract_y
_atom_site_fract_z
_atom_site_occupancy
As1 0.0382 0.2500 0.1250 1
I1 0.0000 0.0000 0.5000 1
O1 0.0000 0.0000 0.0000 1
```

Computed, not measured: a geometry-optimized AsOsIO2 structure at the PBEsol level of DFT.

**Size of the total moment**: 1.76 Bohr magnetons per cell
**Calculated total energy**: -5.24 eV per atom

The structure in CIF format:
```
data_AsOsIO2
_chemical_formula_sum 'As1 Os1 I1 O2'
_cell_length_a 3.7320
_cell_length_b 3.7320
_cell_length_c 6.2046
_cell_angle_alpha 90.00
_cell_angle_beta 90.00
_cell_angle_gamma 90.00
_symmetry_space_group_name_H-M 'P 4/m m m'
_symmetry_Int_Tables_number 123
_symmetry_space_group_name_Hall '-P 4 2'
loop_
_atom_site_label
_atom_site_fract_x
_atom_site_fract_y
_atom_site_fract_z
_atom_site_occupancy
As1 0.0000 0.0000 0.0000 1
Os1 0.5000 0.5000 0.5000 1
I1 0.0000 0.0000 0.5000 1
O1 0.0000 0.5000 0.0000 1
```

Computed, not measured: a geometry-optimized AsPtI2O structure at the PBEsol level of DFT.

**Size of the total moment**: 0.00 Bohr magnetons per cell
**Calculated total energy**: -3.90 eV per atom

The structure in CIF format:
```
data_AsPtI2O
_chemical_formula_sum 'As1 Pt1 I2 O1'
_cell_length_a 5.5094
_cell_length_b 5.5094
_cell_length_c 3.7620
_cell_angle_alpha 90.00
_cell_angle_beta 90.00
_cell_angle_gamma 90.00
_symmetry_space_group_name_H-M 'P 4/m m m'
_symmetry_Int_Tables_number 123
_symmetry_space_group_name_Hall '-P 4 2'
loop_
_atom_site_label
_atom_site_fract_x
_atom_site_fract_y
_atom_site_fract_z
_atom_site_occupancy
As1 0.0000 0.0000 0.0000 1
Pt1 0.5000 0.5000 0.5000 1
I1 0.0000 0.5000 0.5000 1
O1 0.5000 0.5000 0.0000 1
```

Computed, not measured: a geometry-optimized RbAsI2O structure at the PBEsol level of DFT.

**Size of the total moment**: 0.00 Bohr magnetons per cell
**Calculated total energy**: -3.75 eV per atom

The structure in CIF format:
```
data_RbAsI2O
_chemical_formula_sum 'Rb1 As1 I2 O1'
_cell_length_a 6.0106
_cell_length_b 6.0106
_cell_length_c 3.8840
_cell_angle_alpha 90.00
_cell_angle_beta 90.00
_cell_angle_gamma 90.00
_symmetry_space_group_name_H-M 'P 4/m m m'
_symmetry_Int_Tables_number 123
_symmetry_space_group_name_Hall '-P 4 2'
loop_
_atom_site_label
_atom_site_fract_x
_atom_site_fract_y
_atom_site_fract_z
_atom_site_occupancy
Rb1 0.0000 0.0000 0.0000 1
As1 0.5000 0.5000 0.5000 1
I1 0.0000 0.5000 0.5000 1
O1 0.5000 0.5000 0.0000 1
```

Computed, not measured: a geometry-optimized AsRuI2O structure at the PBEsol level of DFT.

**Size of the total moment**: 0.00 Bohr magnetons per cell
**Calculated total energy**: -4.73 eV per atom

The structure in CIF format:
```
data_AsRuI2O
_chemical_formula_sum 'As1 Ru1 I2 O1'
_cell_length_a 5.4361
_cell_length_b 5.4361
_cell_length_c 3.6622
_cell_angle_alpha 90.00
_cell_angle_beta 90.00
_cell_angle_gamma 90.00
_symmetry_space_group_name_H-M 'P 4/m m m'
_symmetry_Int_Tables_number 123
_symmetry_space_group_name_Hall '-P 4 2'
loop_
_atom_site_label
_atom_site_fract_x
_atom_site_fract_y
_atom_site_fract_z
_atom_site_occupancy
As1 0.0000 0.0000 0.0000 1
Ru1 0.5000 0.5000 0.5000 1
I1 0.0000 0.5000 0.5000 1
O1 0.5000 0.5000 0.0000 1
```

Computed, not measured: a geometry-optimized ScAsIO2 structure at the PBEsol level of DFT.

**Size of the total moment**: 1.72 Bohr magnetons per cell
**Calculated total energy**: -5.73 eV per atom

The structure in CIF format:
```
data_ScAsIO2
_chemical_formula_sum 'Sc1 As1 I1 O2'
_cell_length_a 4.0454
_cell_length_b 4.0454
_cell_length_c 6.0868
_cell_angle_alpha 90.00
_cell_angle_beta 90.00
_cell_angle_gamma 90.00
_symmetry_space_group_name_H-M 'P 4/m m m'
_symmetry_Int_Tables_number 123
_symmetry_space_group_name_Hall '-P 4 2'
loop_
_atom_site_label
_atom_site_fract_x
_atom_site_fract_y
_atom_site_fract_z
_atom_site_occupancy
Sc1 0.0000 0.0000 0.0000 1
As1 0.5000 0.5000 0.5000 1
I1 0.0000 0.0000 0.5000 1
O1 0.0000 0.5000 0.0000 1
```